[1]
First-principles (GGA-PBE) data for a relaxed structure of Na4NdRh3O8, as listed in Alexandria via LeMat-Bulk.

Properties
Its final energy is -5.922 eV per atom. Its calculated volume is 12.20 Å³ per atom.

Unit cell a=6.6246 b=6.6246 c=6.6246 alpha=57.80 beta=57.80 gamma=57.80
Last column: nearest neighbours and their distance in Å.
Fractional positions:
1 Na 0.0000 0.0000 0.0000  6 O 2.29
2 Na 0.0000 0.5000 0.5000  6 O 2.48-2.53
3 Na 0.5000 0.0000 0.5000  6 O 2.48-2.53
4 Na 0.5000 0.5000 0.0000  6 O 2.48-2.53
5 Nd 0.5000 0.5000 0.5000  6 O 2.34
6 Rh 0.0000 0.0000 0.5000  6 O 2.12-2.14
7 Rh 0.0000 0.5000 0.0000  6 O 2.12-2.14
8 Rh 0.5000 0.0000 0.0000  6 O 2.12-2.14
9 O 0.2103 0.7539 0.7539  2 Rh 2.14, 1 Na 2.29, 1 Nd 2.34
10 O 0.2290 0.2290 0.2290  3 Rh 2.12
11 O 0.2461 0.2461 0.7897  2 Rh 2.14, 1 Na 2.29, 1 Nd 2.34
12 O 0.2461 0.7897 0.2461  2 Rh 2.14, 1 Na 2.29, 1 Nd 2.34
13 O 0.7539 0.2103 0.7539  2 Rh 2.14, 1 Na 2.29, 1 Nd 2.34
14 O 0.7539 0.7539 0.2103  2 Rh 2.14, 1 Na 2.29, 1 Nd 2.34
15 O 0.7710 0.7710 0.7710  3 Rh 2.12
16 O 0.7897 0.2461 0.2461  2 Rh 2.14, 1 Na 2.29, 1 Nd 2.34


[2]
First-principles (GGA-PBE) data for a relaxed structure of Na2NdRuO6, as listed in Alexandria via LeMat-Bulk.

Properties
Its final energy is -6.278 eV per atom. Its calculated volume is 13.60 Å³ per atom.

Unit cell a=5.6899 b=5.8546 c=9.8970 alpha=90.00 beta=124.44 gamma=90.00
Last column: nearest neighbours and their distance in Å.
Fractional positions:
1 Na 0.2401 0.0443 0.2515  4 O 2.41-2.55
2 Na 0.2401 0.4557 0.7515  4 O 2.41-2.55
3 Na 0.7599 0.5443 0.2485  4 O 2.41-2.55
4 Na 0.7599 0.9557 0.7485  4 O 2.41-2.55
5 Nd 0.5000 0.0000 0.0000  6 O 2.33-2.36
6 Nd 0.5000 0.5000 0.5000  6 O 2.33-2.36
7 Ru 0.0000 0.0000 0.5000  6 O 1.90-1.91
8 Ru 0.0000 0.5000 0.0000  6 O 1.90-1.91
9 O 0.1109 0.2284 0.9422  1 Ru 1.91
10 O 0.1109 0.2716 0.4422  1 Ru 1.91
11 O 0.2250 0.6762 0.9519  1 Ru 1.90
12 O 0.2250 0.8238 0.4519  1 Ru 1.90
13 O 0.3206 0.0361 0.7218  1 Ru 1.91
14 O 0.3206 0.4639 0.2218  1 Ru 1.91
15 O 0.6794 0.5361 0.7782  1 Ru 1.91
16 O 0.6794 0.9639 0.2782  1 Ru 1.91
17 O 0.7750 0.1762 0.5481  1 Ru 1.90
18 O 0.7750 0.3239 0.0481  1 Ru 1.90
19 O 0.8891 0.7284 0.5578  1 Ru 1.91
20 O 0.8891 0.7716 0.0578  1 Ru 1.91


We obtain M_tot values of 0.00, 0.21 μB per formula unit for the records listed above, in that order.